Y3SnSe: optimized geometry, PBE.

Total DFT energy (no corrections) in eV per atom: -6.05
Energy above the most stable polymorph in this dataset in meV per atom: 244
Volume in Å³/cell: 149.9
ρ in Mg/m³: 5.15
ΔE_f (raw) in kJ/mol of formula units: -325

Cell and atoms, written as POSCAR:
```
Y3SnSe
1.0
-0.058 -0.568 -5.281
3.712 -3.782 0.366
-3.799 -3.687 0.438
Y Sn Se
3 1 1
direct
0.000 0.500 0.000
0.000 0.000 0.500
0.500 0.000 0.000
0.500 0.500 0.500
0.000 0.000 0.000
```